Record 1
This record from the Alexandria database describes a relaxed structure of BeSnN2F. The functional is PBE-GGA.

CIF file:
```
data_BeSnN2F
_chemical_formula_sum 'Be1 Sn1 N2 F1'
_cell_length_a 3.741
_cell_length_b 3.741
_cell_length_c 3.430
_cell_angle_alpha 90.00
_cell_angle_beta 90.00
_cell_angle_gamma 90.00
_space_group_name_H-M_alt 'P 4/m m m'
_space_group_IT_number 123
_space_group_name_Hall '-P 4 2'
loop_
_atom_site_label
_atom_site_fract_x
_atom_site_fract_y
_atom_site_fract_z
_atom_site_occupancy
Be1 0.000 0.000 0.000 1
Sn1 0.500 0.500 0.500 1
N1 0.000 0.500 0.000 1
F1 0.000 0.000 0.500 1
```

**Total magnetization**: 0.00 μB per formula unit
**Formation energy from raw total energies**: -0.08 eV per formula unit
**Energy above the most stable polymorph in this dataset**: 0 meV per atom
**Raw total energy**: -5.266 eV/atom

Record 2
This record from the Alexandria database describes a relaxed structure of SrBeNF2. The functional is PBE-GGA.

CIF file:
```
data_SrBeNF2
_chemical_formula_sum 'Sr1 Be1 N1 F2'
_cell_length_a 4.614
_cell_length_b 4.614
_cell_length_c 5.261
_cell_angle_alpha 90.00
_cell_angle_beta 90.00
_cell_angle_gamma 90.00
_space_group_name_H-M_alt 'P 4/m m m'
_space_group_IT_number 123
_space_group_name_Hall '-P 4 2'
loop_
_atom_site_label
_atom_site_fract_x
_atom_site_fract_y
_atom_site_fract_z
_atom_site_occupancy
Sr1 0.000 0.000 0.000 1
Be1 0.500 0.500 0.500 1
N1 0.000 0.000 0.500 1
F1 0.000 0.500 0.000 1
```

**Total magnetization**: 1.92 μB per formula unit
**Formation energy from raw total energies**: -2.30 eV per formula unit
**Energy above the most stable polymorph in this dataset**: 1492 meV per atom
**Raw total energy**: -3.955 eV/atom

Record 3
This record from the Alexandria database describes a relaxed structure of SrBeNF2. The functional is PBE-GGA.

CIF file:
```
data_SrBeNF2
_chemical_formula_sum 'Sr1 Be1 N1 F2'
_cell_length_a 3.525
_cell_length_b 3.746
_cell_length_c 4.303
_cell_angle_alpha 90.00
_cell_angle_beta 90.00
_cell_angle_gamma 90.00
_space_group_name_H-M_alt 'P m m m'
_space_group_IT_number 47
loop_
_space_group_symop_operation_xyz
'x,y,z'
'-x,-y,-z'
'-x,-y,z'
'x,y,-z'
'x,-y,-z'
'-x,y,z'
'-x,y,-z'
'x,-y,z'
loop_
_atom_site_label
_atom_site_fract_x
_atom_site_fract_y
_atom_site_fract_z
_atom_site_occupancy
Sr1 0.000 0.000 0.000 1
Be1 0.500 0.500 0.500 1
N1 0.000 0.500 0.500 1
F1 0.500 0.000 0.500 1
F2 0.500 0.500 0.000 1
```

**Total magnetization**: 1.00 μB per formula unit
**Formation energy from raw total energies**: -9.76 eV per formula unit
**Energy above the most stable polymorph in this dataset**: 0 meV per atom
**Raw total energy**: -5.447 eV/atom

Record 4
This record from the Alexandria database describes a relaxed structure of TaBeNF2. The functional is PBE-GGA.

CIF file:
```
data_TaBeNF2
_chemical_formula_sum 'Ta1 Be1 N1 F2'
_cell_length_a 3.086
_cell_length_b 3.086
_cell_length_c 7.003
_cell_angle_alpha 90.00
_cell_angle_beta 90.00
_cell_angle_gamma 90.00
_space_group_name_H-M_alt 'P 4/m m m'
_space_group_IT_number 123
_space_group_name_Hall '-P 4 2'
loop_
_atom_site_label
_atom_site_fract_x
_atom_site_fract_y
_atom_site_fract_z
_atom_site_occupancy
Ta1 0.000 0.000 0.000 1
Be1 0.500 0.500 0.500 1
N1 0.500 0.500 0.000 1
F1 0.000 0.500 0.500 1
```

**Total magnetization**: 1.11 μB per formula unit
**Formation energy from raw total energies**: -7.81 eV per formula unit
**Energy above the most stable polymorph in this dataset**: 0 meV per atom
**Raw total energy**: -7.091 eV/atom